Compound: Zn2Ag6Au3
Source: the Alexandria database
Functional: PBE
Structure: optimized geometry

The structure in POSCAR format:
```
Zn2Ag6Au3
1.0
0.085 5.105 1.396
1.919 -3.446 3.464
6.141 4.827 -4.727
Ag Zn Au
6 2 3
direct
0.212 0.288 0.500
0.788 0.712 0.500
0.214 0.494 0.845
0.349 0.942 0.155
0.651 0.058 0.845
0.786 0.506 0.155
0.769 0.500 0.730
0.231 0.500 0.270
0.000 0.000 0.000
0.285 0.926 0.643
0.715 0.074 0.357
```

Calculated values
DOS(E_F): 2.573 states/eV/cell
energy relative to the elements: 7.0 kJ/mol of formula units